VASP calculation (PBE) on a geometry-optimized TaFeRe structure.

Cell lengths 4.105, 4.105, 4.105 Å; angles 60.00, 60.00, 60.00 degrees
Fractional coordinates of all 3 atoms:
Ta1 0.000 0.000 0.000
Fe1 0.250 0.250 0.250
Re1 0.500 0.500 0.500

Properties
SG ... F-43m
Energy above the most stable polymorph in this dataset ... 10.29 kcal/mol of atoms

***

VASP calculation (PBE) on a geometry-optimized Ta4FeRe structure.

Cell lengths 4.294, 4.294, 6.151 Å; angles 90.06, 90.06, 90.00 degrees
Fractional coordinates of all 6 atoms:
Ta1 0.000 0.500 0.241
Ta2 0.000 0.500 0.759
Ta3 0.500 0.000 0.241
Ta4 0.500 0.000 0.759
Fe1 0.000 0.000 0.000
Re1 0.500 0.500 0.500

Properties
SG ... C2/m
Energy above the most stable polymorph in this dataset ... 0.00 kcal/mol of atoms

***

VASP calculation (PBE) on a geometry-optimized TaTiFeRe structure.

Cell lengths 3.111, 3.111, 6.138 Å; angles 90.00, 90.00, 90.00 degrees
Fractional coordinates of all 4 atoms:
Ta1 0.000 0.000 0.000
Ti1 0.000 0.000 0.513
Fe1 0.500 0.500 0.756
Re1 0.500 0.500 0.262

Properties
SG ... P4mm
Energy above the most stable polymorph in this dataset ... 0.22 kcal/mol of atoms

***

VASP calculation (PBE) on a geometry-optimized TaTiFeRe structure.

Cell lengths 4.380, 4.380, 4.380 Å; angles 60.00, 60.00, 60.00 degrees
Fractional coordinates of all 4 atoms:
Ta1 0.000 0.000 0.000
Ti1 0.500 0.500 0.500
Fe1 0.250 0.250 0.250
Re1 0.750 0.750 0.750

Properties
SG ... F-43m
Energy above the most stable polymorph in this dataset ... 0.00 kcal/mol of atoms

***

VASP calculation (PBE) on a geometry-optimized TaVFeRe structure.

Cell lengths 4.336, 4.336, 4.336 Å; angles 60.00, 60.00, 60.00 degrees
Fractional coordinates of all 4 atoms:
Ta1 0.000 0.000 0.000
V1 0.500 0.500 0.500
Fe1 0.750 0.750 0.750
Re1 0.250 0.250 0.250

Properties
SG ... F-43m

***

VASP calculation (PBE) on a geometry-optimized YTa2FeRe structure.

Cell lengths 4.839, 4.839, 5.352 Å; angles 90.00, 90.00, 90.00 degrees
Fractional coordinates of all 5 atoms:
Y1 0.000 0.000 0.000
Ta1 0.000 0.500 0.500
Ta2 0.500 0.000 0.500
Fe1 0.500 0.500 0.000
Re1 0.000 0.000 0.500

Properties
SG ... P4/mmm

***

VASP calculation (PBE) on a geometry-optimized ZrTaFeRe structure.

Cell lengths 4.513, 4.513, 4.513 Å; angles 60.00, 60.00, 60.00 degrees
Fractional coordinates of all 4 atoms:
Zr1 0.000 0.000 0.000
Ta1 0.500 0.500 0.500
Fe1 0.750 0.750 0.750
Re1 0.250 0.250 0.250

Properties
SG ... F-43m

***

VASP calculation (PBE) on a geometry-optimized TbFeRe structure.

Cell lengths 5.334, 5.334, 5.334 Å; angles 122.18, 119.78, 88.32 degrees
Fractional coordinates of all 6 atoms:
Tb1 0.374 0.124 0.250
Tb2 0.626 0.876 0.750
Fe1 0.000 0.500 0.500
Fe2 0.500 0.500 0.000
Re1 0.000 0.000 0.500
Re2 0.000 0.500 0.000

Properties
SG ... Imma
Energy above the most stable polymorph in this dataset ... 0.00 kcal/mol of atoms

***

Number 1: uncorrected energy -31.50 eV/cell, ΔE_f 0.4224 eV per atom. Number 2: uncorrected energy -66.66 eV/cell, ΔE_f 0.2763 eV per atom. Number 3: uncorrected energy -42.07 eV/cell, ΔE_f -0.3520 eV per atom. Number 4: uncorrected energy -42.10 eV/cell, ΔE_f -0.3616 eV per atom. Number 5: uncorrected energy -42.66 eV/cell, ΔE_f -0.1946 eV per atom. Number 6: uncorrected energy -44.32 eV/cell, ΔE_f 1.3514 eV per atom. Number 7: uncorrected energy -42.23 eV/cell, ΔE_f -0.2298 eV per atom. Number 8: uncorrected energy -51.53 eV/cell, ΔE_f -0.0747 eV per atom.